Record 1
Mg3TlMo | PBE | relaxed

Calculated values
E_form, eV/atom: 0.920
Size of the total moment, μB per atom: 0.50

Cell lengths 5.3147, 5.3147, 5.3147 Å; angles 90.00, 90.00, 90.00 degrees
Last column: nearest neighbours and their distance in Å.
Sites, in units of the cell vectors:
Mg  0.5000  0.0000  0.0000  2 Mo 2.66
Mo  0.0000  0.0000  0.0000  6 Mg 2.66
Mg  0.0000  0.0000  0.5000  2 Mo 2.66
Tl  0.5000  0.5000  0.5000  12 Mg 3.76
Mg  0.0000  0.5000  0.0000  2 Mo 2.66

Record 2
LaMoP2 | PBE | relaxed

Calculated values
E_form, eV/atom: -0.844
Size of the total moment, μB per atom: 0.00

Cell lengths 3.7823, 3.7823, 6.3577 Å; angles 90.00, 90.00, 59.98 degrees
Last column: nearest neighbours and their distance in Å.
Sites, in units of the cell vectors:
Mo  0.2083  0.2083  0.0000  6 P 2.50
P  0.8750  0.8750  0.8099  1 P 2.42, 3 Mo 2.50
La  0.5416  0.5416  0.5000  6 P 2.94
P  0.8750  0.8750  0.1901  1 P 2.42, 3 Mo 2.50

Record 3
Tm2GaNi | PBE | relaxed

Calculated values
E_form, eV/atom: -0.540
Size of the total moment, μB per atom: 0.00

Cell lengths 4.2755, 5.8042, 7.4611 Å; angles 115.15, 90.00, 90.00 degrees
Last column: nearest neighbours and their distance in Å.
Sites, in units of the cell vectors:
Tm  0.2500  0.8012  0.0703  4 Ni 2.85-3.06, 3 Ga 2.93-2.98
Ga  0.7500  0.6746  0.2924  2 Ni 2.66, 3 Tm 2.93-2.96
Ni  0.7500  0.6251  0.7912  2 Ga 2.66, 5 Tm 2.76-2.91
Tm  0.7500  0.1988  0.9297  4 Ni 2.85-3.06, 3 Ga 2.93-2.98
Ni  0.2500  0.3749  0.2088  2 Ga 2.66, 5 Tm 2.76-2.91
Tm  0.7500  0.2410  0.4109  3 Ni 2.76-2.91, 4 Ga 2.96-3.02
Ga  0.2500  0.3254  0.7076  2 Ni 2.66, 3 Tm 2.93-2.96
Tm  0.2500  0.7590  0.5891  3 Ni 2.76-2.91, 4 Ga 2.96-3.02